PBE Y4Np, relaxed; ρ = 5.79 g/cm³; size of the total moment = 6.60 μB per cell; total energy = -35.3 eV/cell; formation enthalpy at 0 K = 0.705 eV/atom; V = 34.0 Å³/atom; D(E_F) = 1.6217 states/eV per atom
1.0
5.540 0.000 0.000
0.000 5.540 0.000
0.000 0.000 5.540
Y Np
4 1
direct
0.000 0.000 0.000 Y
0.000 0.500 0.500 Y
0.500 0.000 0.500 Y
0.500 0.500 0.000 Y
0.500 0.500 0.500 Np